BeCoP2: optimized geometry, PBE-GGA.

Cell and atoms, written as POSCAR:
```
BeCoP2
1.0
-1.741 1.741 3.700
1.741 -1.741 3.700
1.741 1.741 -3.700
Be Co P
1 1 2
direct
0.000 0.000 0.000
0.250 0.750 0.500
0.500 0.500 0.000
0.750 0.250 0.500
```

Computed properties:
As for the final energy: -5.1955 eV/atom. The calculation puts the formation energy from the elements at 217 meV/atom.

***

Ac3CdTc: optimized geometry, PBE-GGA.

Cell and atoms, written as POSCAR:
```
Ac3CdTc
1.0
9.291 0.000 0.000
0.000 4.236 0.000
-2.973 0.000 8.864
Ac Cd Tc
6 2 2
direct
0.055 0.250 0.216
0.315 0.250 0.913
0.325 0.750 0.571
0.675 0.250 0.429
0.685 0.750 0.087
0.945 0.750 0.784
0.363 0.750 0.215
0.637 0.250 0.785
0.061 0.250 0.545
0.939 0.750 0.455
```

Computed properties:
Its energy relative to the lowest polymorph listed for this composition is 0 meV/atom. As for the final energy: -4.7605 eV/atom. The calculation puts the formation energy from the elements at -39 meV/atom.

***

LiLaCeEr: optimized geometry, PBE-GGA.

Cell and atoms, written as POSCAR:
```
LiLaCeEr
1.0
0.000 3.871 3.871
3.871 0.000 3.871
3.871 3.871 0.000
Li La Ce Er
1 1 1 1
direct
0.000 0.000 0.000
0.750 0.750 0.750
0.500 0.500 0.500
0.250 0.250 0.250
```

Computed properties:
As for the final energy: -4.0624 eV/atom. The calculation puts the formation energy from the elements at 272 meV/atom.

***

SrLa2AlTc: optimized geometry, PBE-GGA.

Cell and atoms, written as POSCAR:
```
SrLa2AlTc
1.0
5.462 0.000 0.000
0.000 5.462 0.000
0.000 0.000 5.228
Sr La Al Tc
1 2 1 1
direct
0.000 0.000 0.000
0.000 0.500 0.500
0.500 0.000 0.500
0.500 0.500 0.000
0.500 0.500 0.500
```

Computed properties:
As for the final energy: -5.1738 eV/atom. The calculation puts the formation energy from the elements at -45 meV/atom.

***

NpAg2AsS4: optimized geometry, PBE-GGA.

Cell and atoms, written as POSCAR:
```
NpAg2AsS4
1.0
5.509 -5.451 0.000
5.509 5.451 0.000
-5.147 0.000 5.509
Np Ag As S
2 4 2 8
direct
0.000 0.500 0.000
0.500 0.000 0.500
0.000 0.000 0.000
0.000 0.000 0.500
0.000 0.500 0.500
0.500 0.000 0.000
0.500 0.500 0.000
0.500 0.500 0.500
0.256 0.744 0.005
0.256 0.744 0.495
0.269 0.271 0.521
0.271 0.269 0.021
0.729 0.731 0.979
0.731 0.729 0.479
0.744 0.256 0.505
0.744 0.256 0.995
```

Computed properties:
The calculation puts the formation energy without anion corrections at -0.4064 eV/atom. As for the final energy: -5.3817 eV/atom.

***

AlPbCl: optimized geometry, PBE-GGA.

Cell and atoms, written as POSCAR:
```
AlPbCl
1.0
3.478 0.000 0.000
-1.739 3.012 0.000
0.000 0.000 7.587
Al Pb Cl
1 1 1
direct
0.000 0.000 0.000
0.333 0.667 0.711
0.667 0.333 0.215
```

Computed properties:
The calculation puts the formation energy without anion corrections at -0.3573 eV/atom. Its energy relative to the lowest polymorph listed for this composition is 0 meV/atom. As for the final energy: -3.4564 eV/atom.

***

SmGdAlTl: optimized geometry, PBE-GGA.

Cell and atoms, written as POSCAR:
```
SmGdAlTl
1.0
0.000 3.762 3.762
3.762 0.000 3.762
3.762 3.762 0.000
Sm Gd Al Tl
1 1 1 1
direct
0.000 0.000 0.000
0.500 0.500 0.500
0.750 0.750 0.750
0.250 0.250 0.250
```

Computed properties:
As for the final energy: -6.5736 eV/atom. The calculation puts the formation energy from the elements at -346 meV/atom.

***

PuPS4: optimized geometry, PBE-GGA.

Cell and atoms, written as POSCAR:
```
PuPS4
1.0
-4.449 4.449 3.662
4.449 -4.449 3.662
4.449 4.449 -3.662
Pu P S
2 2 8
direct
0.375 0.625 0.750
0.625 0.375 0.250
0.125 0.875 0.250
0.875 0.125 0.750
0.118 0.692 0.427
0.235 0.308 0.927
0.308 0.235 0.427
0.308 0.882 0.073
0.692 0.118 0.927
0.692 0.765 0.573
0.765 0.692 0.073
0.882 0.308 0.573
```

Computed properties:
The calculation puts the formation energy without anion corrections at -0.7394 eV/atom. As for the final energy: -6.7814 eV/atom.

***

Tb4Pm9Ho11: optimized geometry, PBE-GGA.

Cell and atoms, written as POSCAR:
```
Tb4Pm9Ho11
1.0
8.371 -12.684 0.000
8.371 12.684 0.000
0.000 0.000 3.706
Tb Pm Ho
4 9 11
direct
0.055 0.255 0.000
0.255 0.055 0.000
0.745 0.945 0.000
0.945 0.745 0.000
0.000 0.000 0.000
0.131 0.663 0.000
0.287 0.434 0.000
0.337 0.869 0.000
0.434 0.287 0.000
0.566 0.713 0.000
0.663 0.131 0.000
0.713 0.566 0.000
0.869 0.337 0.000
0.094 0.455 0.500
0.133 0.867 0.500
0.211 0.211 0.500
0.339 0.661 0.500
0.455 0.094 0.500
0.500 0.500 0.500
0.545 0.906 0.500
0.661 0.339 0.500
0.789 0.789 0.500
0.867 0.133 0.500
0.906 0.545 0.500
```

Computed properties:
As for the final energy: -4.6003 eV/atom. The calculation puts the formation energy from the elements at 51 meV/atom.

***

Pr2NbH: optimized geometry, PBE-GGA.

Cell and atoms, written as POSCAR:
```
Pr2NbH
1.0
1.635 0.944 9.307
-1.635 0.944 9.307
0.000 -1.888 9.307
Pr Nb H
2 1 1
direct
0.108 0.108 0.108
0.892 0.892 0.892
0.000 0.000 0.000
0.500 0.500 0.500
```

Computed properties:
As for the final energy: -5.3348 eV/atom.

***

HoTiPt6: optimized geometry, PBE-GGA.

Cell and atoms, written as POSCAR:
```
HoTiPt6
1.0
4.030 0.000 0.000
0.000 4.030 0.000
0.000 0.000 8.064
Ho Ti Pt
1 1 6
direct
0.000 0.000 0.000
0.000 0.000 0.500
0.000 0.500 0.265
0.000 0.500 0.735
0.500 0.000 0.265
0.500 0.000 0.735
0.500 0.500 0.000
0.500 0.500 0.500
```

Computed properties:
As for the final energy: -7.0675 eV/atom. The calculation puts the formation energy from the elements at -978 meV/atom.

***

C2Se3: optimized geometry, PBE-GGA.

Cell and atoms, written as POSCAR:
```
C2Se3
1.0
3.611 0.000 0.000
-1.805 3.127 0.000
0.000 0.000 7.535
C Se
2 3
direct
0.333 0.667 0.101
0.667 0.333 0.899
0.000 0.000 0.500
0.333 0.667 0.829
0.667 0.333 0.171
```

Computed properties:
The calculation puts the formation energy without anion corrections at 1.6494 eV/atom. Its energy relative to the lowest polymorph listed for this composition is 214 meV/atom. As for the final energy: -4.1309 eV/atom.